DFT (GGA-PBE) results for a relaxed Ho2HfGa crystal.

Computed properties:
total magnetic moment	0.000	μB/atom

a = 11.2384 Å, b = 11.2384 Å, c = 11.2384 Å
α = 16.77°, β = 16.77°, γ = 16.77°
Element x y z (fractional)
1 Ho 0.0968 0.0968 0.0968
2 Ho 0.9032 0.9032 0.9032
3 Hf 0.0000 0.0000 0.0000
4 Ga 0.5000 0.5000 0.5000

DFT (GGA-PBE) results for a relaxed CaOsRu crystal.

Computed properties:
total magnetic moment	0.638	μB/atom

a = 4.9277 Å, b = 4.9277 Å, c = 9.1554 Å
α = 90.00°, β = 90.00°, γ = 120.00°
Element x y z (fractional)
1 Ca 0.3333 0.6667 0.2500
2 Ca 0.6667 0.3333 0.7500
3 Os 0.0000 0.0000 0.0000
4 Os 0.0000 0.0000 0.5000
5 Ru 0.0000 0.0000 0.2500
6 Ru 0.0000 0.0000 0.7500

DFT (GGA-PBE) results for a relaxed AlMo2Cl crystal.

Computed properties:
total magnetic moment	0.000	μB/atom
formation energy without anion corrections	845.4	meV per atom

a = 5.2025 Å, b = 5.2025 Å, c = 5.2025 Å
α = 136.88°, β = 136.88°, γ = 62.63°
Element x y z (fractional)
1 Al 0.0000 0.0000 0.0000
2 Mo 0.2500 0.7500 0.5000
3 Mo 0.7500 0.2500 0.5000
4 Cl 0.5000 0.5000 0.0000

In order of appearance, relative energy among the computed polymorphs = 36.9, 161.4, 78.0 kJ/mol of atoms.